VASP calculation (PBE) on an optimized crystal structure of Dy6Tl2Si.

Values from the calculation:
Space-group type: P-62m, No. 189
Formation energy (no corrections), eV/f.u.: -3.2

Lattice parameters (Å, degrees): 8.450 8.450 4.060 90.00 90.00 120.00
Fractional positions:
Dy1 0.000 0.393 0.000
Dy2 0.000 0.749 0.500
Dy3 0.251 0.251 0.500
Dy4 0.393 0.000 0.000
Dy5 0.607 0.607 0.000
Dy6 0.749 0.000 0.500
Tl1 0.333 0.667 0.500
Tl2 0.667 0.333 0.500
Si1 0.000 0.000 0.000

=====

VASP calculation (PBE) on an optimized crystal structure of AlIn2Fe.

Values from the calculation:
Space-group type: P2/m, No. 10
E_form, meV per atom: 370.5

Lattice parameters (Å, degrees): 3.020 4.916 5.311 90.00 96.27 90.00
Fractional positions:
Al1 0.000 0.000 0.000
In1 0.222 0.500 0.261
In2 0.778 0.500 0.739
Fe1 0.500 0.000 0.500

=====

VASP calculation (PBE) on an optimized crystal structure of DyPa2Fe.

Values from the calculation:
Space-group type: P4/mmm, No. 123
E_form, meV per atom: 85.1

Lattice parameters (Å, degrees): 3.413 3.413 7.951 90.00 90.00 90.00
Fractional positions:
Dy1 0.000 0.000 0.000
Pa1 0.500 0.500 0.321
Pa2 0.500 0.500 0.679
Fe1 0.000 0.000 0.500

=====

VASP calculation (PBE) on an optimized crystal structure of NbCu2Se.

Values from the calculation:
Space-group type: I-42d, No. 122
Formation energy (no corrections), eV/f.u.: 0.6

Lattice parameters (Å, degrees): 5.648 5.648 5.648 101.47 101.47 127.04
Fractional positions:
Nb1 0.000 0.000 0.000
Nb2 0.750 0.250 0.500
Cu1 0.148 0.625 0.023
Cu2 0.375 0.398 0.523
Cu3 0.602 0.125 0.977
Cu4 0.875 0.852 0.477
Se1 0.250 0.750 0.500
Se2 0.500 0.500 0.000

=====

VASP calculation (PBE) on an optimized crystal structure of Tb3Te3Au.

Values from the calculation:
Space-group type: R-3, No. 148
Formation energy (no corrections), eV/f.u.: -7.8

Lattice parameters (Å, degrees): 8.030 8.030 8.030 68.54 68.54 68.54
Fractional positions:
Tb1 0.094 0.451 0.694
Tb2 0.306 0.906 0.549
Tb3 0.451 0.694 0.094
Tb4 0.549 0.306 0.906
Tb5 0.694 0.094 0.451
Tb6 0.906 0.549 0.306
Te1 0.081 0.811 0.370
Te2 0.189 0.630 0.919
Te3 0.370 0.081 0.811
Te4 0.630 0.919 0.189
Te5 0.811 0.370 0.081
Te6 0.919 0.189 0.630
Au1 0.341 0.341 0.341
Au2 0.659 0.659 0.659

=====

VASP calculation (PBE) on an optimized crystal structure of PmPr2Sb3.

Values from the calculation:
Space-group type: Immm, No. 71
Formation energy (no corrections), eV/f.u.: -7.1

Lattice parameters (Å, degrees): 7.855 7.855 7.855 146.41 131.83 60.01
Fractional positions:
Pm1 0.000 0.000 0.000
Pr1 0.333 0.333 0.000
Pr2 0.667 0.667 0.000
Sb1 0.165 0.665 0.500
Sb2 0.500 0.000 0.500
Sb3 0.835 0.335 0.500

=====

| no. | total moment (μB per formula unit) |
| --- | --- |
| 1 | 3.9 |
| 2 | 2.3 |
| 3 | 0.0 |
| 4 | 0.0 |
| 5 | 0.0 |
| 6 | 0.0 |